(1)
This record from Alexandria via LeMat-Bulk describes a relaxed structure of LaSn3As. The functional is PBE-GGA.

Output
The energy of formation is 23.1 kcal/mol of atoms. The value obtained for the density of states at the Fermi level is 6.85 states/eV/cell. The value obtained for the volume is 213.0 Å³ per cell. The calculation puts the magnetization at 0.0 μB per formula unit.

a b c (Å): 5.9723 5.9723 5.9723
angles (deg): 90.00 90.00 90.00
With the nearest neighbours (Å) after each atom.
Space group Pm-3m (No. 221)
One atom of each set of equivalent atoms:
La 0.0000 0.0000 0.0000 (multiplicity 1)  6 Sn 2.99
Sn 0.0000 0.0000 0.5000 (multiplicity 3)  2 La 2.99
As 0.5000 0.5000 0.5000 (multiplicity 1)  12 Sn 4.22


(2)
This record from Alexandria via LeMat-Bulk describes a relaxed structure of LaSnAs2. The functional is PBE-GGA.

Output
The energy of formation is 0.9 kcal/mol of atoms. The value obtained for the density of states at the Fermi level is 11.17 states/eV/cell. The value obtained for the volume is 365.2 Å³ per cell. The calculation puts the magnetization at 0.0 μB per formula unit.

a b c (Å): 3.9057 3.9057 27.6436
angles (deg): 90.00 90.00 120.00
With the nearest neighbours (Å) after each atom.
Space group R-3m (No. 166, hexagonal axes)
One atom of each set of equivalent atoms:
La 0.0000 0.0000 0.0000 (multiplicity 3)  2 As 2.97
Sn 0.0000 0.0000 0.5000 (multiplicity 3)  6 As 2.79
As 0.0000 0.0000 0.1073 (multiplicity 6)  3 Sn 2.79, 1 La 2.97


(3)
This record from Alexandria via LeMat-Bulk describes a relaxed structure of LaSn3As. The functional is PBE-GGA.

Output
The energy of formation is 1.8 kcal/mol of atoms. The value obtained for the density of states at the Fermi level is 4.78 states/eV/cell. The value obtained for the volume is 157.2 Å³ per cell. The calculation puts the magnetization at 0.0 μB per formula unit.

a b c (Å): 5.3969 5.3969 5.3969
angles (deg): 90.00 90.00 90.00
With the nearest neighbours (Å) after each atom.
Space group Pm-3m (No. 221)
One atom of each set of equivalent atoms:
La 0.0000 0.0000 0.0000 (multiplicity 1)  12 Sn 3.82
Sn 0.0000 0.5000 0.5000 (multiplicity 3)  2 As 2.70
As 0.5000 0.5000 0.5000 (multiplicity 1)  6 Sn 2.70